--- 1 ---
A plane-wave DFT calculation with PBE+U was carried out for a geometry-optimized NiIF2 structure.

a = 5.884 Å, b = 5.884 Å, c = 6.453 Å
α = 62.88°, β = 62.88°, γ = 90.00°
Element x y z (fractional)
Ni1 0.250 0.750 0.500
Ni2 0.500 0.500 0.000
F1 0.376 0.125 0.250
F2 0.875 0.626 0.750
F3 0.374 0.625 0.250
F4 0.375 0.624 0.750
I1 0.750 0.250 0.500
I2 0.000 0.000 0.000

Calculated values
Total moment, μB/f.u.: 3.00

***

--- 2 ---
A plane-wave DFT calculation with PBE+U was carried out for a geometry-optimized NiIF2 structure.

a = 9.912 Å, b = 9.912 Å, c = 9.912 Å
α = 19.53°, β = 19.53°, γ = 19.53°
Element x y z (fractional)
F1 0.941 0.941 0.941
F2 0.059 0.059 0.059
Ni1 0.000 0.000 0.000
I1 0.500 0.500 0.500

Calculated values
Total moment, μB/f.u.: 1.93

***

--- 3 ---
A plane-wave DFT calculation with PBE+U was carried out for a geometry-optimized NiIF2 structure.

a = 9.454 Å, b = 9.454 Å, c = 9.454 Å
α = 19.56°, β = 19.56°, γ = 19.56°
Element x y z (fractional)
F1 0.133 0.133 0.133
F2 0.867 0.867 0.867
I1 0.000 0.000 0.000
Ni1 0.500 0.500 0.500

Calculated values
Total moment, μB/f.u.: 2.00

***

Q: Which of them is the most stable? A: 3.

***

--- 1 ---
A plane-wave DFT calculation with PBE+U was carried out for a geometry-optimized NiIOF2 structure.

a = 4.827 Å, b = 4.827 Å, c = 4.036 Å
α = 90.00°, β = 90.00°, γ = 90.00°
Element x y z (fractional)
Ni1 0.500 0.500 0.500
O1 0.000 0.000 0.500
F1 0.000 0.500 0.000
F2 0.500 0.000 0.000
I1 0.000 0.000 0.000

Calculated values
Total moment, μB/f.u.: 1.69

***

--- 2 ---
A plane-wave DFT calculation with PBE+U was carried out for a geometry-optimized NiIOF2 structure.

a = 3.759 Å, b = 3.759 Å, c = 5.184 Å
α = 90.00°, β = 90.00°, γ = 90.00°
Element x y z (fractional)
Ni1 0.000 0.000 0.000
F1 0.500 0.000 0.000
F2 0.000 0.500 0.000
O1 0.000 0.000 0.500
I1 0.500 0.500 0.500

Calculated values
Total moment, μB/f.u.: 1.99

***

Q: Which of them is the most stable? A: 2.

***

--- 1 ---
A plane-wave DFT calculation with PBE+U was carried out for a geometry-optimized NiTe2IF structure.

a = 6.091 Å, b = 4.952 Å, c = 6.091 Å
α = 90.00°, β = 90.00°, γ = 90.00°
Element x y z (fractional)
Ni1 0.000 0.500 0.000
Te1 0.500 0.000 0.000
Te2 0.000 0.000 0.500
I1 0.000 0.000 0.000
F1 0.500 0.500 0.500

Calculated values
Total moment, μB/f.u.: 2.98

***

--- 2 ---
A plane-wave DFT calculation with PBE+U was carried out for a geometry-optimized NiTe2IF structure.

a = 4.601 Å, b = 4.601 Å, c = 6.928 Å
α = 90.00°, β = 90.00°, γ = 90.00°
Element x y z (fractional)
Te1 0.000 0.500 0.000
Te2 0.500 0.000 0.000
I1 0.000 0.000 0.500
F1 0.000 0.000 0.000
Ni1 0.500 0.500 0.500

Calculated values
Total moment, μB/f.u.: 1.88

***

Q: Which of them is the most stable? A: 2.

***

--- 1 ---
A plane-wave DFT calculation with PBE+U was carried out for a geometry-optimized NiTeI2F structure.

a = 5.143 Å, b = 5.143 Å, c = 4.937 Å
α = 90.00°, β = 90.00°, γ = 90.00°
Element x y z (fractional)
F1 0.500 0.500 0.500
Ni1 0.000 0.000 0.000
I1 0.500 0.000 0.000
I2 0.000 0.500 0.000
Te1 0.000 0.000 0.500

Calculated values
Total moment, μB/f.u.: 0.00

***

--- 2 ---
A plane-wave DFT calculation with PBE+U was carried out for a geometry-optimized NiTeI2F structure.

a = 5.842 Å, b = 5.842 Å, c = 4.205 Å
α = 90.00°, β = 90.00°, γ = 90.00°
Element x y z (fractional)
I1 0.500 0.000 0.000
I2 0.000 0.500 0.000
Te1 0.000 0.000 0.500
Ni1 0.500 0.500 0.500
F1 0.000 0.000 0.000

Calculated values
Total moment, μB/f.u.: 0.00

***

Q: Which of them is the most stable? A: 1.